[1]
Li3Zn4Rh2: relaxed, PBE-GGA.

Output
* SG: No. 164
* crystal system: trigonal

a = 4.2654 Å, b = 4.2654 Å, c = 7.9196 Å
α = 90.00°, β = 90.00°, γ = 120.00°
Atoms (fractional coordinates):
Li  0.0000  0.0000  0.0000
Li  0.3333  0.6667  0.4411
Li  0.6667  0.3333  0.5589
Zn  0.0000  0.0000  0.3267
Zn  0.0000  0.0000  0.6733
Zn  0.3333  0.6667  0.1126
Zn  0.6667  0.3333  0.8874
Rh  0.3333  0.6667  0.7849
Rh  0.6667  0.3333  0.2151

[2]
Li2ZnRh: relaxed, PBE-GGA.

Output
* SG: No. 65
* crystal system: orthorhombic

a = 4.7025 Å, b = 4.7025 Å, c = 2.7106 Å
α = 90.00°, β = 90.00°, γ = 112.99°
Atoms (fractional coordinates):
Li  0.0000  0.5000  0.0000
Li  0.5000  0.0000  0.0000
Zn  0.0000  0.0000  0.5000
Rh  0.5000  0.5000  0.5000

[3]
Li2ZnRh: relaxed, PBE-GGA.

Output
* SG: No. 25
* crystal system: orthorhombic

a = 3.1554 Å, b = 3.1667 Å, c = 5.7395 Å
α = 90.00°, β = 90.00°, γ = 90.00°
Atoms (fractional coordinates):
Li  0.0000  0.0000  0.0000
Li  0.5000  0.5000  0.2772
Zn  0.0000  0.0000  0.5474
Rh  0.5000  0.5000  0.7673

[4]
LiZn6Rh5: relaxed, PBE-GGA.

Output
* SG: No. 71
* crystal system: orthorhombic

a = 7.3911 Å, b = 7.3911 Å, c = 7.3911 Å
α = 146.56°, β = 131.43°, γ = 60.25°
Atoms (fractional coordinates):
Li  0.0000  0.0000  0.0000
Zn  0.0829  0.8313  0.2516
Zn  0.2538  0.5000  0.7538
Zn  0.4203  0.1687  0.2516
Zn  0.5797  0.8313  0.7484
Zn  0.7462  0.5000  0.2462
Zn  0.9171  0.1687  0.7484
Rh  0.1608  0.6608  0.5000
Rh  0.3345  0.3345  0.0000
Rh  0.5000  0.0000  0.5000
Rh  0.6655  0.6655  0.0000
Rh  0.8392  0.3392  0.5000

[5]
Li3Zn3Rh: relaxed, PBE-GGA.

Output
* SG: No. 176
* crystal system: hexagonal

a = 7.3286 Å, b = 7.3286 Å, c = 4.3423 Å
α = 90.00°, β = 90.00°, γ = 120.00°
Atoms (fractional coordinates):
Li  0.0446  0.7955  0.2500
Li  0.2045  0.2491  0.2500
Li  0.2491  0.0446  0.7500
Li  0.7509  0.9554  0.2500
Li  0.7955  0.7509  0.7500
Li  0.9554  0.2045  0.7500
Zn  0.0937  0.6049  0.7500
Zn  0.3951  0.4888  0.7500
Zn  0.4888  0.0937  0.2500
Zn  0.5112  0.9063  0.7500
Zn  0.6049  0.5112  0.2500
Zn  0.9063  0.3951  0.2500
Rh  0.3333  0.6667  0.2500
Rh  0.6667  0.3333  0.7500

[6]
LiZnRh6: relaxed, PBE-GGA.

Output
* SG: No. 12
* crystal system: monoclinic

a = 4.2289 Å, b = 4.2289 Å, c = 7.0829 Å
α = 99.47°, β = 99.47°, γ = 64.63°
Atoms (fractional coordinates):
Li  0.0000  0.0000  0.0000
Zn  0.5000  0.5000  0.5000
Rh  0.1147  0.1147  0.3641
Rh  0.2556  0.2556  0.7425
Rh  0.3664  0.3664  0.1166
Rh  0.6336  0.6336  0.8834
Rh  0.7444  0.7444  0.2575
Rh  0.8853  0.8853  0.6359

[7]
Li3ZnRh: relaxed, PBE-GGA.

Output
* SG: No. 2
* crystal system: triclinic

a = 3.1359 Å, b = 4.1714 Å, c = 11.0420 Å
α = 91.14°, β = 98.07°, γ = 90.01°
Atoms (fractional coordinates):
Li  0.0586  0.2464  0.1142
Li  0.2511  0.2493  0.5018
Li  0.4391  0.2543  0.8814
Li  0.5609  0.7457  0.1186
Li  0.7489  0.7507  0.4982
Li  0.9414  0.7536  0.8858
Zn  0.3456  0.7519  0.6926
Zn  0.6544  0.2481  0.3074
Rh  0.1538  0.7483  0.3057
Rh  0.8462  0.2517  0.6943

[8]
LiZnRh4: relaxed, PBE-GGA.

Output
* SG: No. 216
* crystal system: cubic

a = 5.1111 Å, b = 5.1111 Å, c = 5.1111 Å
α = 60.00°, β = 60.00°, γ = 60.00°
Atoms (fractional coordinates):
Li  0.0000  0.0000  0.0000
Zn  0.2500  0.2500  0.2500
Rh  0.1251  0.6250  0.6250
Rh  0.6250  0.1251  0.6250
Rh  0.6250  0.6250  0.1251
Rh  0.6250  0.6250  0.6250

[9]
Li2ZnRh: relaxed, PBE-GGA.

Output
* SG: No. 123
* crystal system: tetragonal

a = 3.2201 Å, b = 3.2201 Å, c = 5.2360 Å
α = 90.00°, β = 90.00°, γ = 90.00°
Atoms (fractional coordinates):
Li  0.0000  0.0000  0.2335
Li  0.0000  0.0000  0.7665
Zn  0.5000  0.5000  0.5000
Rh  0.5000  0.5000  0.0000

[10]
Li3ZnRh: relaxed, PBE-GGA.

Output
* SG: No. 15
* crystal system: monoclinic

a = 6.8976 Å, b = 6.8976 Å, c = 5.0713 Å
α = 100.19°, β = 100.19°, γ = 137.25°
Atoms (fractional coordinates):
Li  0.2177  0.3043  0.4980
Li  0.2488  0.7512  0.7500
Li  0.3043  0.2177  0.9980
Li  0.6957  0.7823  0.0020
Li  0.7512  0.2488  0.2500
Li  0.7823  0.6957  0.5020
Zn  0.1484  0.8516  0.2500
Zn  0.8516  0.1484  0.7500
Rh  0.3446  0.6554  0.2500
Rh  0.6554  0.3446  0.7500

[11]
LiZn2Rh2: relaxed, PBE-GGA.

Output
* SG: No. 63
* crystal system: orthorhombic

a = 10.9985 Å, b = 10.9985 Å, c = 4.3548 Å
α = 90.00°, β = 90.00°, γ = 164.86°
Atoms (fractional coordinates):
Li  0.1409  0.8591  0.7500
Li  0.8591  0.1409  0.2500
Zn  0.3401  0.6599  0.7500
Zn  0.4598  0.5402  0.2500
Zn  0.5402  0.4598  0.7500
Zn  0.6599  0.3401  0.2500
Rh  0.0615  0.9385  0.2500
Rh  0.2592  0.7408  0.2500
Rh  0.7408  0.2592  0.7500
Rh  0.9385  0.0615  0.7500

[12]
Li2Zn2Rh: relaxed, PBE-GGA.

Output
* SG: No. 127
* crystal system: tetragonal

a = 6.6763 Å, b = 6.6763 Å, c = 2.9522 Å
α = 90.00°, β = 90.00°, γ = 90.00°
Atoms (fractional coordinates):
Li  0.1290  0.3710  0.0000
Li  0.3710  0.8710  0.0000
Li  0.6290  0.1290  0.0000
Li  0.8710  0.6290  0.0000
Zn  0.1733  0.6733  0.5000
Zn  0.3267  0.1733  0.5000
Zn  0.6733  0.8267  0.5000
Zn  0.8267  0.3267  0.5000
Rh  0.0000  0.0000  0.0000
Rh  0.5000  0.5000  0.0000

[13]
Li2ZnRh: relaxed, PBE-GGA.

Output
* SG: No. 119
* crystal system: tetragonal

a = 4.2438 Å, b = 4.2438 Å, c = 4.2438 Å
α = 119.78°, β = 119.78°, γ = 90.38°
Atoms (fractional coordinates):
Li  0.0000  0.0000  0.0000
Li  0.7500  0.2500  0.5000
Zn  0.2500  0.7500  0.5000
Rh  0.5000  0.5000  0.0000

no.,calculated formation energy (kJ per mole of atoms)
1,-35.5
2,-17.7
3,-22.0
4,-40.7
5,-24.6
6,2.1
7,-22.7
8,11.2
9,-15.0
10,-19.7
11,-33.6
12,-10.2
13,-29.6